K2CdH2: optimized geometry, PBE-GGA.

a b c (Å): 5.011 5.011 11.626
angles (deg): 90.00 90.00 90.00
Space group I4/mmm (No. 139)
Unique sites:
K1 0.000 0.000 0.179 [4 per cell]
Cd1 0.000 0.000 0.500 [2 per cell]
H1 0.000 0.500 0.250 [4 per cell]

Properties
The uncorrected energy is -19.23 eV per cell. As for the total moment: 0.00 μB/cell.